VASP calculation (PBE with a Hubbard U) on a relaxed Li2Ni2PtO6 crystal.

Computed properties:
density of states at the Fermi level: 8.142 states/eV/cell
total magnetic moment: 2.00 μB per formula unit
DFT total energy: -5.14 eV per atom

Cell: 5.272 8.854 5.156 Å, 90.00 110.79 90.00°
Space group C2/m (No. 12)
Symmetry-distinct sites (fractional):
Li  0.000  0.178  0.000 [4 per cell]
Ni  0.000  0.336  0.500 [4 per cell]
Pt  0.000  0.000  0.500 [2 per cell]
O  0.227  0.173  0.722 [8 per cell]
O  0.247  0.500  0.712 [4 per cell]